Computed, not measured: a relaxed structure of Mn2AlIO at the GGA+U level of DFT.

The final energy comes out at -25.7 eV per cell.

The structure belongs to space group P4/mmm (No. 123); the cell edges are 5.594, 5.594 and 3.638 Å and the angles 90.00°, 90.00° and 90.00°. The distinct sites, in fractional coordinates, are Mn at (0.000, 0.500, 0.000), Al at (0.000, 0.000, 0.000), I at (0.500, 0.500, 0.500) and O at (0.000, 0.000, 0.500).

***

Computed, not measured: a relaxed structure of MnAlIO2 at the GGA+U level of DFT.

The final energy comes out at -24.3 eV per cell. The excess energy over the best structure of this formula in the dataset is 564.2 meV/atom.

The structure belongs to space group P4/mmm (No. 123); the cell edges are 3.933, 3.933 and 5.885 Å and the angles 90.00°, 90.00° and 90.00°. The distinct sites, in fractional coordinates, are Mn at (0.000, 0.000, 0.000), Al at (0.500, 0.500, 0.500), I at (0.000, 0.000, 0.500) and O at (0.000, 0.500, 0.000).

***

Computed, not measured: a relaxed structure of MnAlIO2 at the GGA+U level of DFT.

The final energy comes out at -27.1 eV per cell. The excess energy over the best structure of this formula in the dataset is 0.0 meV/atom.

The structure belongs to space group P4/mmm (No. 123); the cell edges are 3.798, 3.798 and 5.767 Å and the angles 90.00°, 90.00° and 90.00°. The distinct sites, in fractional coordinates, are Mn at (0.000, 0.000, 0.000), Al at (0.500, 0.500, 0.500), I at (0.500, 0.500, 0.000) and O at (0.000, 0.500, 0.500).